(1)
TlSnBiPb: relaxed, PBE-GGA.

Lattice parameters (Å, degrees): 7.8730 7.8730 7.8730 90.00 90.00 90.00
Space group F-43m (No. 216)
Symmetry-distinct sites (fractional):
Tl  0.0000  0.0000  0.0000 (multiplicity 4)
Sn  0.2500  0.2500  0.7500 (multiplicity 4)
Bi  0.0000  0.0000  0.5000 (multiplicity 4)
Pb  0.2500  0.2500  0.2500 (multiplicity 4)

Output
The value obtained for the calculated volume is 30.50 Å³ per atom. The calculation puts the energy above the most stable polymorph in this dataset at 27 meV per atom. The calculation puts the magnetization at 0.0000 μB per atom. The calculation puts the density of states at the Fermi level at 0.733 states/eV/atom.

(2)
SrBi2Pb: relaxed, PBE-GGA.

Lattice parameters (Å, degrees): 5.1043 5.1043 5.0128 90.00 90.00 90.00
Space group P4/mmm (No. 123)
Symmetry-distinct sites (fractional):
Sr  0.0000  0.0000  0.0000 (multiplicity 1)
Bi  0.0000  0.5000  0.5000 (multiplicity 2)
Pb  0.5000  0.5000  0.0000 (multiplicity 1)

Output
The value obtained for the calculated volume is 32.65 Å³ per atom. The calculation puts the magnetization at 0.0000 μB per atom. The calculation puts the density of states at the Fermi level at 0.683 states/eV/atom. For the electronic total energy, the calculation gives -3.712 eV/atom.

(3)
Sr3Bi2Pb: relaxed, PBE-GGA.

Lattice parameters (Å, degrees): 13.6677 5.0226 13.5132 90.00 90.00 90.00
Space group Pnma (No. 62)
Symmetry-distinct sites (fractional):
Sr  0.0475  0.2500  0.1174 (multiplicity 4)
Sr  0.1215  0.7500  0.5523 (multiplicity 4)
Sr  0.2344  0.2500  0.7808 (multiplicity 4)
Bi  0.0069  0.2500  0.7030 (multiplicity 4)
Bi  0.1844  0.7500  0.0086 (multiplicity 4)
Pb  0.1227  0.2500  0.3678 (multiplicity 4)

Output
The value obtained for the calculated volume is 38.65 Å³ per atom. The calculation puts the magnetization at 0.0000 μB per atom. The calculation puts the density of states at the Fermi level at 0.090 states/eV/atom. For the electronic total energy, the calculation gives -3.415 eV/atom.

(4)
SrBiPb: relaxed, PBE-GGA.

Lattice parameters (Å, degrees): 7.8842 7.8842 7.8842 90.00 90.00 90.00
Space group F-43m (No. 216)
Symmetry-distinct sites (fractional):
Sr  0.0000  0.0000  0.0000 (multiplicity 4)
Bi  0.2500  0.2500  0.7500 (multiplicity 4)
Pb  0.0000  0.0000  0.5000 (multiplicity 4)

Output
The value obtained for the calculated volume is 40.84 Å³ per atom. The calculation puts the energy above the most stable polymorph in this dataset at 114 meV per atom. The calculation puts the magnetization at 0.0000 μB per atom. The calculation puts the density of states at the Fermi level at 0.728 states/eV/atom.

(5)
SrBi2Pb: relaxed, PBE-GGA.

Lattice parameters (Å, degrees): 5.2850 5.2850 19.3595 90.00 90.00 120.00
Space group R3m (No. 160, hexagonal axes)
Symmetry-distinct sites (fractional):
Sr  0.0000  0.0000  0.0000 (multiplicity 3)
Bi  0.0000  0.0000  0.4129 (multiplicity 3)
Bi  0.0000  0.0000  0.5729 (multiplicity 3)
Pb  0.0000  0.0000  0.8185 (multiplicity 3)

Output
The value obtained for the calculated volume is 39.02 Å³ per atom. The calculation puts the magnetization at 0.0000 μB per atom. The calculation puts the density of states at the Fermi level at 0.154 states/eV/atom. For the electronic total energy, the calculation gives -3.596 eV/atom.

(6)
Sr2Bi4Pb3: relaxed, PBE-GGA.

Lattice parameters (Å, degrees): 9.3599 5.9756 11.0401 90.00 96.73 90.00
Space group C2/m (No. 12)
Symmetry-distinct sites (fractional):
Sr  0.1864  0.0000  0.2817 (multiplicity 4)
Bi  0.0158  0.5000  0.1461 (multiplicity 4)
Bi  0.1474  0.0000  0.6045 (multiplicity 4)
Pb  0.0000  0.5000  0.5000 (multiplicity 2)
Pb  0.1609  0.0000  0.9170 (multiplicity 4)

Output
The value obtained for the calculated volume is 34.07 Å³ per atom. The calculation puts the magnetization at 0.0000 μB per atom. The calculation puts the density of states at the Fermi level at 0.479 states/eV/atom. For the electronic total energy, the calculation gives -3.656 eV/atom.

(7)
SrBi2Pb: relaxed, PBE-GGA.

Lattice parameters (Å, degrees): 4.3680 4.3680 7.0650 90.00 90.00 90.00
Space group P4/mmm (No. 123)
Symmetry-distinct sites (fractional):
Sr  0.0000  0.0000  0.0000 (multiplicity 1)
Bi  0.5000  0.5000  0.2597 (multiplicity 2)
Pb  0.0000  0.0000  0.5000 (multiplicity 1)

Output
The value obtained for the calculated volume is 33.70 Å³ per atom. The calculation puts the magnetization at 0.0000 μB per atom. The calculation puts the density of states at the Fermi level at 0.600 states/eV/atom. For the electronic total energy, the calculation gives -3.652 eV/atom.

(8)
SrBi2Pb: relaxed, PBE-GGA.

Lattice parameters (Å, degrees): 4.3535 4.3535 27.0788 90.00 90.00 120.00
Space group R-3m (No. 166, hexagonal axes)
Symmetry-distinct sites (fractional):
Sr  0.0000  0.0000  0.0000 (multiplicity 3)
Bi  0.0000  0.0000  0.2443 (multiplicity 6)
Pb  0.0000  0.0000  0.5000 (multiplicity 3)

Output
The value obtained for the calculated volume is 37.04 Å³ per atom. The calculation puts the magnetization at 0.0000 μB per atom. The calculation puts the density of states at the Fermi level at 0.923 states/eV/atom. For the electronic total energy, the calculation gives -3.495 eV/atom.

(9)
SrBi3Pb: relaxed, PBE-GGA.

Lattice parameters (Å, degrees): 5.9630 5.9630 5.9630 90.00 90.00 90.00
Space group Pm-3m (No. 221)
Symmetry-distinct sites (fractional):
Sr  0.0000  0.0000  0.0000 (multiplicity 1)
Bi  0.0000  0.5000  0.5000 (multiplicity 3)
Pb  0.5000  0.5000  0.5000 (multiplicity 1)

Output
The value obtained for the calculated volume is 42.40 Å³ per atom. The calculation puts the energy above the most stable polymorph in this dataset at 566 meV per atom. The calculation puts the magnetization at 0.0000 μB per atom. The calculation puts the density of states at the Fermi level at 1.262 states/eV/atom.

(10)
Sr2BiPb: relaxed, PBE-GGA.

Lattice parameters (Å, degrees): 5.4908 5.4908 4.6476 90.00 90.00 90.00
Space group P4/mmm (No. 123)
Symmetry-distinct sites (fractional):
Sr  0.0000  0.5000  0.0000 (multiplicity 2)
Bi  0.0000  0.0000  0.5000 (multiplicity 1)
Pb  0.5000  0.5000  0.5000 (multiplicity 1)

Output
The value obtained for the calculated volume is 35.03 Å³ per atom. The calculation puts the energy above the most stable polymorph in this dataset at 0 meV per atom. The calculation puts the magnetization at 0.0000 μB per atom. The calculation puts the density of states at the Fermi level at 0.652 states/eV/atom.

(11)
SrBiPb3: relaxed, PBE-GGA.

Lattice parameters (Å, degrees): 6.0675 6.0675 23.4567 90.00 90.00 90.00
Space group I-4m2 (No. 119)
Symmetry-distinct sites (fractional):
Sr  0.0000  0.0000  0.1812 (multiplicity 4)
Bi  0.0000  0.0000  0.5000 (multiplicity 2)
Bi  0.0000  0.5000  0.7500 (multiplicity 2)
Pb  0.0000  0.2503  0.6218 (multiplicity 8)
Pb  0.0000  0.5000  0.0773 (multiplicity 4)

Output
The value obtained for the calculated volume is 43.18 Å³ per atom. The calculation puts the energy above the most stable polymorph in this dataset at 0 meV per atom. The calculation puts the magnetization at 0.0000 μB per atom. The calculation puts the density of states at the Fermi level at 0.826 states/eV/atom.

(12)
SrBiPb6: relaxed, PBE-GGA.

Lattice parameters (Å, degrees): 5.9585 5.9585 7.3411 90.00 90.00 90.00
Space group P4/mmm (No. 123)
Symmetry-distinct sites (fractional):
Sr  0.0000  0.0000  0.0000 (multiplicity 1)
Bi  0.0000  0.0000  0.5000 (multiplicity 1)
Pb  0.0000  0.5000  0.2739 (multiplicity 4)
Pb  0.5000  0.5000  0.0000 (multiplicity 1)
Pb  0.5000  0.5000  0.5000 (multiplicity 1)

Output
The value obtained for the calculated volume is 32.58 Å³ per atom. The calculation puts the magnetization at 0.0000 μB per atom. The calculation puts the density of states at the Fermi level at 0.351 states/eV/atom. For the electronic total energy, the calculation gives -3.595 eV/atom.

(13)
Sr3Bi3Pb: relaxed, PBE-GGA.

Lattice parameters (Å, degrees): 10.2311 10.2311 6.8610 90.00 90.00 120.00
Space group P6_3/m (No. 176)
Symmetry-distinct sites (fractional):
Sr  0.0446  0.6881  0.2500 (multiplicity 6)
Bi  0.0431  0.6883  0.7500 (multiplicity 6)
Pb  0.3333  0.6667  0.7500 (multiplicity 2)

Output
The value obtained for the calculated volume is 44.43 Å³ per atom. The calculation puts the magnetization at 0.0000 μB per atom. The calculation puts the density of states at the Fermi level at 0.880 states/eV/atom. For the electronic total energy, the calculation gives -3.432 eV/atom.

(14)
Sr2Bi3Pb3: relaxed, PBE-GGA.

Lattice parameters (Å, degrees): 5.0299 5.2172 9.9177 90.00 90.00 90.00
Space group Pmmm (No. 47)
Symmetry-distinct sites (fractional):
Sr  0.0000  0.0000  0.2465 (multiplicity 2)
Bi  0.0000  0.5000  0.0000 (multiplicity 1)
Bi  0.5000  0.0000  0.0000 (multiplicity 1)
Bi  0.5000  0.0000  0.5000 (multiplicity 1)
Pb  0.0000  0.5000  0.5000 (multiplicity 1)
Pb  0.5000  0.5000  0.2564 (multiplicity 2)

Output
The value obtained for the calculated volume is 32.53 Å³ per atom. The calculation puts the magnetization at 0.0000 μB per atom. The calculation puts the density of states at the Fermi level at 0.467 states/eV/atom. For the electronic total energy, the calculation gives -3.677 eV/atom.

(15)
SrBiPb: relaxed, PBE-GGA.

Lattice parameters (Å, degrees): 5.3902 5.3902 4.4280 90.00 90.00 120.00
Space group P-6m2 (No. 187)
Symmetry-distinct sites (fractional):
Sr  0.0000  0.0000  0.0000 (multiplicity 1)
Bi  0.6667  0.3333  0.5000 (multiplicity 1)
Pb  0.3333  0.6667  0.5000 (multiplicity 1)

Output
The value obtained for the calculated volume is 37.14 Å³ per atom. The calculation puts the energy above the most stable polymorph in this dataset at 59 meV per atom. The calculation puts the magnetization at 0.0000 μB per atom. The calculation puts the density of states at the Fermi level at 0.435 states/eV/atom.

(16)
SrBi3Pb: relaxed, PBE-GGA.

Lattice parameters (Å, degrees): 15.5214 6.4957 6.8639 90.00 90.00 90.00
Space group Pbcm (No. 57)
Symmetry-distinct sites (fractional):
Sr  0.1756  0.0016  0.2500 (multiplicity 4)
Bi  0.0020  0.2500  0.0000 (multiplicity 4)
Bi  0.2351  0.5081  0.2500 (multiplicity 4)
Bi  0.4048  0.7285  0.7500 (multiplicity 4)
Pb  0.3797  0.2500  0.0000 (multiplicity 4)

Output
The value obtained for the calculated volume is 34.60 Å³ per atom. The calculation puts the energy above the most stable polymorph in this dataset at 0 meV per atom. The calculation puts the magnetization at 0.0000 μB per atom. The calculation puts the density of states at the Fermi level at 0.515 states/eV/atom.

(17)
SrBiPb: relaxed, PBE-GGA.

Lattice parameters (Å, degrees): 3.9556 3.9556 17.1222 90.00 90.00 90.00
Space group I4mm (No. 107)
Symmetry-distinct sites (fractional):
Sr  0.0000  0.0000  0.0000 (multiplicity 2)
Bi  0.0000  0.0000  0.1976 (multiplicity 2)
Pb  0.0000  0.0000  0.7964 (multiplicity 2)

Output
The value obtained for the calculated volume is 44.65 Å³ per atom. The calculation puts the energy above the most stable polymorph in this dataset at 603 meV per atom. The calculation puts the magnetization at 0.0000 μB per atom. The calculation puts the density of states at the Fermi level at 0.851 states/eV/atom.

(18)
Sr3Bi5Pb12: relaxed, PBE-GGA.

Lattice parameters (Å, degrees): 18.7960 18.7960 18.7960 90.00 90.00 90.00
Space group Ia-3d (No. 230)
Symmetry-distinct sites (fractional):
Sr  0.0000  0.2500  0.1250 (multiplicity 24)
Bi  0.0000  0.0000  0.0000 (multiplicity 16)
Bi  0.0000  0.2500  0.3750 (multiplicity 24)
Pb  0.0321  0.0824  0.6469 (multiplicity 96)

Output
The value obtained for the calculated volume is 41.50 Å³ per atom. The calculation puts the magnetization at 0.0000 μB per atom. The calculation puts the density of states at the Fermi level at 0.575 states/eV/atom. For the electronic total energy, the calculation gives -3.329 eV/atom.

(19)
SrBiPb3: relaxed, PBE-GGA.

Lattice parameters (Å, degrees): 6.0404 6.0404 6.0404 90.00 90.00 90.00
Space group Pm-3m (No. 221)
Symmetry-distinct sites (fractional):
Sr  0.0000  0.0000  0.0000 (multiplicity 1)
Bi  0.5000  0.5000  0.5000 (multiplicity 1)
Pb  0.0000  0.0000  0.5000 (multiplicity 3)

Output
The value obtained for the calculated volume is 44.08 Å³ per atom. The calculation puts the energy above the most stable polymorph in this dataset at 797 meV per atom. The calculation puts the magnetization at 0.0000 μB per atom. The calculation puts the density of states at the Fermi level at 1.062 states/eV/atom.

(20)
Sr2Bi3Pb: relaxed, PBE-GGA.

Lattice parameters (Å, degrees): 3.7392 6.8104 17.3789 90.00 90.00 90.00
Space group Immm (No. 71)
Symmetry-distinct sites (fractional):
Sr  0.0000  0.0000  0.1666 (multiplicity 4)
Bi  0.0000  0.5000  0.1623 (multiplicity 4)
Bi  0.0000  0.5000  0.5000 (multiplicity 2)
Pb  0.0000  0.0000  0.5000 (multiplicity 2)

Output
The value obtained for the calculated volume is 36.88 Å³ per atom. The calculation puts the energy above the most stable polymorph in this dataset at 128 meV per atom. The calculation puts the magnetization at 0.0000 μB per atom. The calculation puts the density of states at the Fermi level at 0.835 states/eV/atom.

(21)
SrBi6Pb12: relaxed, PBE-GGA.

Lattice parameters (Å, degrees): 12.3185 12.3185 14.4574 90.00 90.00 120.00
Space group R-3 (No. 148, hexagonal axes)
Symmetry-distinct sites (fractional):
Sr  0.0000  0.0000  0.0000 (multiplicity 3)
Bi  0.0189  0.4349  0.7119 (multiplicity 18)
Pb  0.0314  0.1984  0.8117 (multiplicity 18)
Pb  0.0647  0.8521  0.4100 (multiplicity 18)

Output
The value obtained for the calculated volume is 33.33 Å³ per atom. The calculation puts the magnetization at 0.0000 μB per atom. The calculation puts the density of states at the Fermi level at 0.550 states/eV/atom. For the electronic total energy, the calculation gives -3.660 eV/atom.